# 1
BeGaSi2 PBE-GGA optimized geometry; ΔE_f (raw) = 0.56 eV per atom; crystal system = cubic; DFT total energy = -3.838 eV/atom; mass density = 3.86 Mg/m³
1.0
-0.851 -1.846 3.839
-2.988 -3.141 0.285
1.223 -4.099 0.758
Be Si Ga
1 2 1
direct
0.000 0.000 0.000 Be
0.250 0.250 0.250 Si
0.750 0.750 0.750 Si
0.500 0.500 0.500 Ga

=====

# 2
CrAsW PBE-GGA optimized geometry; E_form = 0.377 eV/atom; crystal system = orthorhombic; DFT total energy = -8.699 eV/atom; mass density = 11.61 Mg/m³
1.0
-1.375 -0.956 -5.766
-1.772 -3.434 -4.377
-2.662 0.986 -0.412
Cr W As
1 1 1
direct
0.661 0.661 0.339 Cr
0.330 0.330 0.670 W
0.009 0.009 0.991 As

=====

# 3
CaCuRu2 PBE-GGA optimized geometry; E_form = 0.327 eV/atom; crystal system = monoclinic; DFT total energy = -5.836 eV/atom; mass density = 7.32 Mg/m³
1.0
4.575 -0.004 0.016
3.651 2.757 0.016
0.773 0.259 5.500
Ru Cu Ca
2 1 1
direct
0.000 0.000 0.976 Ru
0.739 0.739 0.833 Ru
0.262 0.262 0.205 Cu
0.500 0.500 0.487 Ca

=====

# 4
Eu2CuPd PBE-GGA optimized geometry; E_form = 0.224 eV/atom; crystal system = trigonal; DFT total energy = -7.236 eV/atom; mass density = 7.40 Mg/m³
1.0
-2.217 -1.681 2.191
1.097 -0.977 3.222
-3.329 7.723 5.421
Cu Eu Pd
1 2 1
direct
0.500 0.500 0.500 Cu
0.908 0.908 0.276 Eu
0.092 0.092 0.724 Eu
0.000 0.000 0.000 Pd

=====

# 5
TlCrBr2 PBE-GGA optimized geometry; ΔE_f (raw) = -0.33 eV per atom; crystal system = monoclinic; DFT total energy = -4.167 eV/atom; mass density = 5.18 Mg/m³
1.0
4.452 0.000 0.000
0.000 4.747 0.024
0.000 2.343 6.321
Tl Br Cr
1 2 1
direct
0.500 0.677 0.770 Tl
0.500 0.409 0.308 Br
0.000 0.106 0.911 Br
0.000 0.308 0.511 Cr

=====

# 6
TcBMo2 PBE-GGA optimized geometry; E_form = 0.260 eV/atom; crystal system = tetragonal; DFT total energy = -9.416 eV/atom; mass density = 8.76 Mg/m³
1.0
7.176 0.000 0.000
0.000 7.176 0.000
3.588 3.588 2.214
Tc Mo B
2 4 2
direct
0.750 0.250 0.500 Tc
0.000 0.000 0.000 Tc
0.375 0.476 0.750 Mo
0.524 0.125 0.250 Mo
0.226 0.625 0.250 Mo
0.875 0.774 0.750 Mo
0.250 0.750 0.500 B
0.500 0.500 0.000 B

=====

# 7
SrTe3Au PBE-GGA optimized geometry; ΔE_f (raw) = 0.56 eV per atom; crystal system = cubic; DFT total energy = -2.317 eV/atom; mass density = 4.91 Mg/m³
1.0
6.087 0.000 0.000
0.000 6.087 0.000
0.000 0.000 6.087
Au Te Sr
1 3 1
direct
0.500 0.500 0.500 Au
0.000 0.500 0.000 Te
0.500 0.000 0.000 Te
0.000 0.000 0.500 Te
0.000 0.000 0.000 Sr

=====

# 8
PmSmThPb PBE-GGA optimized geometry; E_form = -0.060 eV/atom; crystal system = cubic; DFT total energy = -5.209 eV/atom; mass density = 9.95 Mg/m³
1.0
5.575 0.000 0.000
2.788 4.828 0.000
2.788 1.609 4.552
Sm Th Pm Pb
1 1 1 1
direct
0.000 0.000 0.000 Sm
0.750 0.750 0.750 Th
0.500 0.500 0.500 Pm
0.250 0.250 0.250 Pb

=====

# 9
Na3TlSi PBE-GGA optimized geometry; ΔE_f (raw) = 0.68 eV per atom; crystal system = cubic; DFT total energy = -1.673 eV/atom; mass density = 2.68 Mg/m³
1.0
5.717 0.000 0.000
0.000 5.717 0.000
0.000 0.000 5.717
Tl Na Si
1 3 1
direct
0.000 0.000 0.000 Tl
0.000 0.000 0.500 Na
0.500 0.000 0.000 Na
0.000 0.500 0.000 Na
0.500 0.500 0.500 Si

=====

# 10
TbPm5Hg2 PBE-GGA optimized geometry; E_form = -0.153 eV/atom; crystal system = orthorhombic; DFT total energy = -3.776 eV/atom; mass density = 8.65 Mg/m³
1.0
3.735 0.000 0.000
1.867 8.145 -0.660
1.867 1.821 7.966
Hg Pm Tb
2 5 1
direct
0.726 0.774 0.774 Hg
0.274 0.226 0.226 Hg
0.362 0.858 0.419 Pm
0.638 0.581 0.142 Pm
0.362 0.419 0.858 Pm
0.000 0.500 0.500 Pm
0.638 0.142 0.581 Pm
0.000 0.000 0.000 Tb